Density functional theory data (PBE) for a geometry-optimized CoReP2 structure.

Cell lengths 2.946, 2.946, 5.600 Å; angles 90.00, 90.00, 90.00 degrees
Last column: magnetic moment on the atom in μB.
Fractional coordinates of all 4 atoms:
P 0.000 0.000 0.509  0.01
Co 0.500 0.500 0.750  0.32
P 0.000 0.000 0.991  0.01
Re 0.500 0.500 0.250  0.01

## Properties
Crystal system: tetragonal
SG: P4/mmm, No. 123

=====

Density functional theory data (PBE) for a geometry-optimized Co3ReP structure.

Cell lengths 4.421, 4.421, 4.421 Å; angles 90.00, 90.00, 90.00 degrees
Fractional coordinates of all 5 atoms:
P 0.500 0.500 0.500
Co 0.000 0.000 0.500
Co 0.000 0.500 0.000
Co 0.500 0.000 0.000
Re 0.000 0.000 0.000

## Properties
Crystal system: cubic
SG: Pm-3m, No. 221

=====

The following DFT total energy values (in eV/atom) correspond, in order, to the records above: -7.671, -6.151.